# 1
Compound: CuINF2
Source: the Alexandria database
Functional: meta-GGA SCAN
Structure: PBEsol geometry

a = 3.999 Å, b = 4.581 Å, c = 4.581 Å
α = 90.00°, β = 90.00°, γ = 90.00°
Positions (direct):
F  0.000  0.500  0.000
F  0.000  0.000  0.500
I  0.000  0.000  0.000
N  0.500  0.000  0.000
Cu  0.500  0.500  0.500

Calculated values
Density of states at the Fermi level, states/eV/f.u.: 1.2
SG: No. 123
ΔE_f (raw), eV per atom: 0.524
Volume, A^3/atom: 16.79

=====

# 2
Compound: CuI2NF
Source: the Alexandria database
Functional: meta-GGA SCAN
Structure: PBEsol geometry

a = 3.483 Å, b = 5.392 Å, c = 5.392 Å
α = 90.00°, β = 90.00°, γ = 90.00°
Site moments in Bohr magnetons follow the coordinates.
Positions (direct):
I  0.000  0.000  0.500  0.38
I  0.000  0.500  0.000  0.38
F  0.500  0.500  0.500  0.32
N  0.500  0.000  0.000  1.05
Cu  0.000  0.000  0.000  0.26

Calculated values
Density of states at the Fermi level, states/eV/f.u.: 4.0
SG: No. 123
ΔE_f (raw), eV per atom: 0.636
Volume, A^3/atom: 20.25

=====

# 3
Compound: RbCuIF2
Source: the Alexandria database
Functional: meta-GGA SCAN
Structure: PBEsol geometry

a = 4.533 Å, b = 4.533 Å, c = 5.000 Å
α = 90.00°, β = 90.00°, γ = 90.00°
Site moments in Bohr magnetons follow the coordinates.
Positions (direct):
F  0.000  0.500  0.000  0.07
F  0.500  0.000  0.000  0.07
Rb  0.500  0.500  0.500  0.00
Cu  0.000  0.000  0.000  0.39
I  0.000  0.000  0.500  0.04

Calculated values
Density of states at the Fermi level, states/eV/f.u.: 1.9
SG: No. 123
ΔE_f (raw), eV per atom: -1.377
Volume, A^3/atom: 20.54

=====

# 4
Compound: NaInCu2F
Source: the Alexandria database
Functional: meta-GGA SCAN
Structure: PBEsol geometry

a = 4.529 Å, b = 4.529 Å, c = 5.840 Å
α = 90.00°, β = 90.00°, γ = 90.00°
Positions (direct):
Cu  0.000  0.500  0.000
Cu  0.500  0.000  0.000
Na  0.000  0.000  0.000
F  0.500  0.500  0.500
In  0.000  0.000  0.500

Calculated values
Density of states at the Fermi level, states/eV/f.u.: 1.7
SG: No. 123
ΔE_f (raw), eV per atom: 0.747
Volume, A^3/atom: 23.96

=====

# 5
Compound: Rb2InCuF6
Source: the Alexandria database
Functional: meta-GGA SCAN
Structure: PBEsol geometry

a = 6.038 Å, b = 6.038 Å, c = 6.038 Å
α = 60.00°, β = 60.00°, γ = 60.00°
Site moments in Bohr magnetons follow the coordinates.
Positions (direct):
F  0.752  0.248  0.248  0.00
F  0.248  0.752  0.248  0.00
F  0.752  0.248  0.752  0.00
F  0.248  0.752  0.752  0.00
F  0.248  0.248  0.752  0.00
F  0.752  0.752  0.248  0.00
Rb  0.250  0.250  0.250  0.00
Rb  0.750  0.750  0.750  0.00
In  0.000  0.000  0.000  -0.01
Cu  0.500  0.500  0.500  0.08

Calculated values
Density of states at the Fermi level, states/eV/f.u.: 3.1
SG: No. 225
ΔE_f (raw), eV per atom: -2.519
Volume, A^3/atom: 15.56

=====

# 6
Compound: InCuSbF2
Source: the Alexandria database
Functional: meta-GGA SCAN
Structure: PBEsol geometry

a = 4.078 Å, b = 4.078 Å, c = 5.241 Å
α = 90.00°, β = 90.00°, γ = 90.00°
Positions (direct):
F  0.000  0.500  0.000
F  0.500  0.000  0.000
Sb  0.000  0.000  0.500
Cu  0.000  0.000  0.000
In  0.500  0.500  0.500

Calculated values
Density of states at the Fermi level, states/eV/f.u.: 2.2
SG: No. 123
ΔE_f (raw), eV per atom: -0.944
Volume, A^3/atom: 17.43

=====

# 7
Compound: Cu2IrPtF
Source: the Alexandria database
Functional: meta-GGA SCAN
Structure: PBEsol geometry

a = 4.628 Å, b = 4.645 Å, c = 4.645 Å
α = 90.00°, β = 90.00°, γ = 90.00°
Positions (direct):
Cu  0.000  0.000  0.500
Cu  0.000  0.500  0.000
F  0.500  0.500  0.500
Pt  0.500  0.000  0.000
Ir  0.000  0.000  0.000

Calculated values
Density of states at the Fermi level, states/eV/f.u.: 6.1
SG: No. 123
ΔE_f (raw), eV per atom: 1.036
Volume, A^3/atom: 19.97

=====

# 8
Compound: K2CuF
Source: the Alexandria database
Functional: meta-GGA SCAN
Structure: PBEsol geometry

a = 5.096 Å, b = 5.096 Å, c = 5.096 Å
α = 60.00°, β = 60.00°, γ = 60.00°
Site moments in Bohr magnetons follow the coordinates.
Positions (direct):
K  0.750  0.750  0.750  0.00
K  0.250  0.250  0.250  0.00
Cu  0.500  0.500  0.500  0.10
F  0.000  0.000  0.000  0.01

Calculated values
Density of states at the Fermi level, states/eV/f.u.: 0.0
SG: No. 225
ΔE_f (raw), eV per atom: -0.875
Volume, A^3/atom: 23.39

=====

# 9
Compound: KCuF2
Source: the Alexandria database
Functional: meta-GGA SCAN
Structure: PBEsol geometry

a = 3.790 Å, b = 3.790 Å, c = 6.682 Å
α = 73.52°, β = 73.52°, γ = 60.00°
Positions (direct):
K  0.500  0.500  0.500
F  0.905  0.905  0.284
F  0.095  0.095  0.716
Cu  0.000  0.000  0.000

Calculated values
Density of states at the Fermi level, states/eV/f.u.: 0.0
SG: No. 166
ΔE_f (raw), eV per atom: -2.028
Volume, A^3/atom: 19.64

=====

# 10
Compound: K4MgCu3F12
Source: the Alexandria database
Functional: meta-GGA SCAN
Structure: PBEsol geometry

a = 6.927 Å, b = 6.927 Å, c = 6.927 Å
α = 109.47°, β = 109.47°, γ = 109.47°
Site moments in Bohr magnetons follow the coordinates.
Positions (direct):
Cu  0.500  0.500  0.000  0.78
Cu  0.500  0.000  0.500  0.78
Cu  0.000  0.500  0.500  0.78
F  0.000  0.751  0.751  0.04
F  0.000  0.249  0.249  0.04
F  0.250  0.500  0.750  0.07
F  0.751  0.751  0.000  0.04
F  0.249  0.249  0.000  0.04
F  0.500  0.750  0.250  0.07
F  0.500  0.250  0.750  0.07
F  0.750  0.500  0.250  0.07
F  0.250  0.750  0.500  0.07
F  0.750  0.250  0.500  0.07
F  0.751  0.000  0.751  0.04
F  0.249  0.000  0.249  0.04
K  0.000  0.500  0.000  0.00
K  0.500  0.500  0.500  0.00
K  0.500  0.000  0.000  0.00
K  0.000  0.000  0.500  0.00
Mg  0.000  0.000  0.000  0.01

Calculated values
Density of states at the Fermi level, states/eV/f.u.: 3.4
SG: No. 229
ΔE_f (raw), eV per atom: -2.632
Relative energy among the computed polymorphs, meV/atom: 8.4
Volume, A^3/atom: 12.79

=====

# 11
Compound: K4MgCu3F12
Source: the Alexandria database
Functional: meta-GGA SCAN
Structure: PBEsol geometry

a = 3.990 Å, b = 7.980 Å, c = 8.963 Å
α = 116.43°, β = 90.00°, γ = 90.00°
Site moments in Bohr magnetons follow the coordinates.
Positions (direct):
Cu  0.000  0.249  0.498  0.79
Cu  0.000  0.500  0.000  0.78
Cu  0.000  0.751  0.502  0.79
F  0.000  0.251  0.000  0.04
F  0.000  0.500  0.500  0.07
F  0.000  0.000  0.500  0.07
F  0.000  0.749  0.000  0.04
F  0.500  0.500  0.000  0.07
F  0.000  0.373  0.745  0.08
F  0.000  0.876  0.753  0.04
F  0.000  0.627  0.255  0.08
F  0.500  0.000  0.000  0.00
F  0.000  0.124  0.247  0.04
F  0.500  0.751  0.502  0.07
F  0.500  0.249  0.498  0.07
K  0.500  0.126  0.748  0.00
K  0.500  0.379  0.252  0.00
K  0.500  0.621  0.748  0.00
K  0.500  0.874  0.252  0.00
Mg  0.000  0.000  0.000  0.01

Calculated values
Density of states at the Fermi level, states/eV/f.u.: 2.5
SG: No. 65
ΔE_f (raw), eV per atom: -2.640
Relative energy among the computed polymorphs, meV/atom: 0.0
Volume, A^3/atom: 12.78

=====

# 12
Compound: K3MgCu2F9
Source: the Alexandria database
Functional: meta-GGA SCAN
Structure: PBEsol geometry

a = 3.986 Å, b = 3.986 Å, c = 12.014 Å
α = 90.00°, β = 90.00°, γ = 90.00°
Site moments in Bohr magnetons follow the coordinates.
Positions (direct):
K  0.000  0.000  0.831  0.00
K  0.000  0.000  0.169  0.00
K  0.000  0.000  0.500  0.00
F  0.500  0.000  0.335  -0.08
F  0.500  0.500  0.500  -0.09
F  0.500  0.000  0.665  -0.08
F  0.000  0.500  0.000  0.00
F  0.500  0.500  0.834  -0.03
F  0.000  0.500  0.335  -0.08
F  0.000  0.500  0.665  -0.08
F  0.500  0.000  0.000  0.00
F  0.500  0.500  0.166  -0.03
Cu  0.500  0.500  0.666  -0.78
Cu  0.500  0.500  0.334  -0.78
Mg  0.500  0.500  0.000  0.00

Calculated values
Density of states at the Fermi level, states/eV/f.u.: 1.9
SG: No. 123
ΔE_f (raw), eV per atom: -2.741
Volume, A^3/atom: 12.73

=====

> Which of these has the highest ΔE_f (raw)?

Cu2IrPtF